Ac3Sm2PuSe6 | PBE-GGA | relaxed

```
12
Lattice="3.719 -6.444 0.000 3.719 6.444 0.000 -2.476 0.000 7.122" Properties=species:S:1:pos:R:3 pbc="T T T"
Ac 0.000 0.000 0.000
Ac 3.719 2.158 0.000
Ac 3.719 -2.158 0.000
Sm 2.481 4.293 3.561
Sm 2.481 -4.293 3.561
Pu 2.481 0.000 3.561
Se 1.246 2.139 1.926
Se 0.012 0.000 5.198
Se 1.246 -2.139 1.926
Se 3.715 2.139 5.195
Se 4.949 0.000 1.924
Se 3.715 -2.139 5.195
```

The formation energy without anion corrections is -1.790 eV per atom. As for the symmetry: C2/m. For the total energy, the calculation gives -6.54 eV per atom.

=====

PmCd2Sn | PBE-GGA | relaxed

```
4
Lattice="4.543 0.000 0.000 0.000 4.543 0.000 0.000 0.000 4.875" Properties=species:S:1:pos:R:3 pbc="T T T"
Pm 0.000 0.000 0.000
Cd 0.000 2.271 2.437
Cd 2.271 0.000 2.437
Sn 2.271 2.271 0.000
```

As for the symmetry: P4/mmm. For the total energy, the calculation gives -3.10 eV per atom.

=====

KReBr2 | PBE-GGA | relaxed

```
4
Lattice="3.279 0.000 0.000 0.000 3.279 0.000 0.000 0.000 9.409" Properties=species:S:1:pos:R:3 pbc="T T T"
K 0.000 0.000 0.000
Re 1.639 1.639 2.943
Br 0.000 0.000 4.043
Br 1.639 1.639 7.269
```

The formation energy without anion corrections is 0.481 eV per atom. As for the symmetry: P4mm. For the total energy, the calculation gives -3.74 eV per atom. The calculation puts the energy above the most stable polymorph in this dataset at 274 meV per atom.

=====

PaSiRh2 | PBE-GGA | relaxed

```
4
Lattice="3.345 -2.867 0.000 3.345 2.867 0.000 -0.026 0.000 3.841" Properties=species:S:1:pos:R:3 pbc="T T T"
Pa 0.000 0.000 0.000
Si 3.345 0.000 0.000
Rh 1.890 0.000 1.906
Rh 4.775 0.000 1.935
```

The formation energy without anion corrections is -0.557 eV per atom. As for the symmetry: C2/m. For the total energy, the calculation gives -7.96 eV per atom.

=====

Mg5In2Rh | PBE-GGA | relaxed

```
8
Lattice="-2.235 2.235 8.149 2.235 -2.235 8.149 2.235 2.235 -8.149" Properties=species:S:1:pos:R:3 pbc="T T T"
Mg 0.000 0.000 0.000
Mg 2.235 0.000 1.789
Mg 2.235 0.000 6.360
Mg 0.000 2.235 1.789
Mg 0.000 2.235 6.360
In 0.000 0.000 4.025
In 0.000 0.000 12.273
Rh 0.000 0.000 8.149
```

As for the symmetry: I4/mmm. For the total energy, the calculation gives -2.78 eV per atom.